(1)
# PmSn2Pd2, relaxed, DFT PBE
# Calculated formation energy (eV per atom): -0.7585
data_PmSn2Pd2
_chemical_formula_sum 'Pm2 Sn4 Pd4'
_cell_length_a 4.557
_cell_length_b 4.556
_cell_length_c 10.834
_cell_angle_alpha 90.00
_cell_angle_beta 90.10
_cell_angle_gamma 90.00
_space_group_name_H-M_alt 'P 1 21/m 1'
_space_group_IT_number 11
_space_group_name_Hall '-P 2yb'
loop_
_atom_site_label
_atom_site_type_symbol
_atom_site_fract_x
_atom_site_fract_y
_atom_site_fract_z
Pm1 Pm 0.249 0.250 0.239
Sn1 Sn 0.250 0.750 0.500
Sn2 Sn 0.253 0.250 0.872
Pd1 Pd 0.247 0.750 0.000
Pd2 Pd 0.250 0.250 0.633

(2)
# AcCe3Al8, relaxed, DFT PBE
# Calculated formation energy (eV per atom): -0.4194
data_AcCe3Al8
_chemical_formula_sum 'Ac3 Ce9 Al24'
_cell_length_a 5.6960
_cell_length_b 5.6960
_cell_length_c 27.8996
_cell_angle_alpha 90.00
_cell_angle_beta 90.00
_cell_angle_gamma 120.00
_space_group_name_H-M_alt 'R 3 m'
_space_group_IT_number 160
_space_group_name_Hall 'R 3 -2"'
loop_
_atom_site_label
_atom_site_type_symbol
_atom_site_fract_x
_atom_site_fract_y
_atom_site_fract_z
Ac1 Ac 0.0000 0.0000 0.0000
Ce1 Ce 0.0000 0.0000 0.1265
Ce2 Ce 0.0000 0.0000 0.5004
Ce3 Ce 0.0000 0.0000 0.6235
Al1 Al 0.0000 0.0000 0.3120
Al2 Al 0.0000 0.0000 0.8130
Al3 Al 0.0008 0.5004 0.0648
Al4 Al 0.1679 0.3358 0.8943

(3)
# CrCo2I, relaxed, DFT PBE
# Raw formation energy (kJ/mol of atoms): 99
data_CrCo2I
_chemical_formula_sum 'Cr4 Co8 I4'
_cell_length_a 5.638
_cell_length_b 5.638
_cell_length_c 9.657
_cell_angle_alpha 90.00
_cell_angle_beta 90.00
_cell_angle_gamma 90.00
_space_group_name_H-M_alt 'I -4 2 d'
_space_group_IT_number 122
_space_group_name_Hall 'I -4 2bw'
loop_
_atom_site_label
_atom_site_type_symbol
_atom_site_fract_x
_atom_site_fract_y
_atom_site_fract_z
Cr1 Cr 0.000 0.000 0.000
Co1 Co 0.203 0.250 0.125
I1 I 0.000 0.000 0.500